(1)
# Ca2ZrNb (GGA-PBE, relaxed)
# - Symmetry: Fm-3m, No. 225
# - Crystal system: cubic
data_Ca2ZrNb
_space_group_name_H-M_alt 'P 1'
_space_group_IT_number 1
_cell_length_a 5.354
_cell_length_b 5.354
_cell_length_c 5.354
_cell_angle_alpha 60.00
_cell_angle_beta 60.00
_cell_angle_gamma 60.00
loop_
_space_group_symop_operation_xyz
'x,y,z'
loop_
_atom_site_label
_atom_site_type_symbol
_atom_site_fract_x
_atom_site_fract_y
_atom_site_fract_z
Ca1 Ca 0.250 0.250 0.250
Ca2 Ca 0.750 0.750 0.750
Zr1 Zr 0.000 0.000 0.000
Nb1 Nb 0.500 0.500 0.500

---

(2)
# CaZrNb2 (GGA-PBE, relaxed)
# - Energy above the most stable polymorph in this dataset: 346.7 meV/atom
# - Symmetry: I-42d, No. 122
# - Crystal system: tetragonal
data_CaZrNb2
_space_group_name_H-M_alt 'P 1'
_space_group_IT_number 1
_cell_length_a 6.294
_cell_length_b 6.294
_cell_length_c 6.294
_cell_angle_alpha 103.01
_cell_angle_beta 103.01
_cell_angle_gamma 123.35
loop_
_space_group_symop_operation_xyz
'x,y,z'
loop_
_atom_site_label
_atom_site_type_symbol
_atom_site_fract_x
_atom_site_fract_y
_atom_site_fract_z
Ca1 Ca 0.000 0.000 0.000
Ca2 Ca 0.750 0.250 0.500
Zr1 Zr 0.250 0.750 0.500
Zr2 Zr 0.500 0.500 0.000
Nb1 Nb 0.134 0.625 0.009
Nb2 Nb 0.375 0.384 0.509
Nb3 Nb 0.616 0.125 0.991
Nb4 Nb 0.875 0.866 0.491

---

(3)
# CaZr3Nb (GGA-PBE, relaxed)
# - Energy above the most stable polymorph in this dataset: 0.0 meV/atom
# - Symmetry: Pm-3m, No. 221
# - Crystal system: cubic
data_CaZr3Nb
_space_group_name_H-M_alt 'P 1'
_space_group_IT_number 1
_cell_length_a 5.234
_cell_length_b 5.234
_cell_length_c 5.234
_cell_angle_alpha 90.00
_cell_angle_beta 90.00
_cell_angle_gamma 90.00
loop_
_space_group_symop_operation_xyz
'x,y,z'
loop_
_atom_site_label
_atom_site_type_symbol
_atom_site_fract_x
_atom_site_fract_y
_atom_site_fract_z
Ca1 Ca 0.000 0.000 0.000
Zr1 Zr 0.000 0.500 0.500
Zr2 Zr 0.500 0.000 0.500
Zr3 Zr 0.500 0.500 0.000
Nb1 Nb 0.500 0.500 0.500

---

(4)
# Ca3ZrNb (GGA-PBE, relaxed)
# - Energy above the most stable polymorph in this dataset: 0.0 meV/atom
# - Symmetry: Pm-3m, No. 221
# - Crystal system: cubic
data_Ca3ZrNb
_space_group_name_H-M_alt 'P 1'
_space_group_IT_number 1
_cell_length_a 5.457
_cell_length_b 5.457
_cell_length_c 5.457
_cell_angle_alpha 90.00
_cell_angle_beta 90.00
_cell_angle_gamma 90.00
loop_
_space_group_symop_operation_xyz
'x,y,z'
loop_
_atom_site_label
_atom_site_type_symbol
_atom_site_fract_x
_atom_site_fract_y
_atom_site_fract_z
Ca1 Ca 0.000 0.000 0.500
Ca2 Ca 0.000 0.500 0.000
Ca3 Ca 0.500 0.000 0.000
Zr1 Zr 0.500 0.500 0.500
Nb1 Nb 0.000 0.000 0.000

---

(5)
# CaZrNb2 (GGA-PBE, relaxed)
# - Energy above the most stable polymorph in this dataset: 0.0 meV/atom
# - Symmetry: Fm-3m, No. 225
# - Crystal system: cubic
data_CaZrNb2
_space_group_name_H-M_alt 'P 1'
_space_group_IT_number 1
_cell_length_a 4.987
_cell_length_b 4.987
_cell_length_c 4.987
_cell_angle_alpha 60.00
_cell_angle_beta 60.00
_cell_angle_gamma 60.00
loop_
_space_group_symop_operation_xyz
'x,y,z'
loop_
_atom_site_label
_atom_site_type_symbol
_atom_site_fract_x
_atom_site_fract_y
_atom_site_fract_z
Ca1 Ca 0.000 0.000 0.000
Zr1 Zr 0.500 0.500 0.500
Nb1 Nb 0.250 0.250 0.250
Nb2 Nb 0.750 0.750 0.750

---

(6)
# CaZrNb3 (GGA-PBE, relaxed)
# - Energy above the most stable polymorph in this dataset: 0.0 meV/atom
# - Symmetry: Pm-3m, No. 221
# - Crystal system: cubic
data_CaZrNb3
_space_group_name_H-M_alt 'P 1'
_space_group_IT_number 1
_cell_length_a 5.042
_cell_length_b 5.042
_cell_length_c 5.042
_cell_angle_alpha 90.00
_cell_angle_beta 90.00
_cell_angle_gamma 90.00
loop_
_space_group_symop_operation_xyz
'x,y,z'
loop_
_atom_site_label
_atom_site_type_symbol
_atom_site_fract_x
_atom_site_fract_y
_atom_site_fract_z
Ca1 Ca 0.000 0.000 0.000
Zr1 Zr 0.500 0.500 0.500
Nb1 Nb 0.000 0.500 0.500
Nb2 Nb 0.500 0.000 0.500
Nb3 Nb 0.500 0.500 0.000

---

(7)
# Ca3Nd (GGA-PBE, relaxed)
# - Energy above the most stable polymorph in this dataset: 77.2 meV/atom
# - Symmetry: Pm-3m, No. 221
# - Crystal system: cubic
data_Ca3Nd
_space_group_name_H-M_alt 'P 1'
_space_group_IT_number 1
_cell_length_a 5.429
_cell_length_b 5.429
_cell_length_c 5.429
_cell_angle_alpha 90.00
_cell_angle_beta 90.00
_cell_angle_gamma 90.00
loop_
_space_group_symop_operation_xyz
'x,y,z'
loop_
_atom_site_label
_atom_site_type_symbol
_atom_site_fract_x
_atom_site_fract_y
_atom_site_fract_z
Ca1 Ca 0.000 0.000 0.500
Ca2 Ca 0.000 0.500 0.000
Ca3 Ca 0.500 0.000 0.000
Nd1 Nd 0.500 0.500 0.500

---

(8)
# CaNd6 (GGA-PBE, relaxed)
# - Symmetry: Im-3m, No. 229
# - Crystal system: cubic
data_CaNd6
_space_group_name_H-M_alt 'P 1'
_space_group_IT_number 1
_cell_length_a 7.222
_cell_length_b 7.222
_cell_length_c 7.222
_cell_angle_alpha 109.47
_cell_angle_beta 109.47
_cell_angle_gamma 109.47
loop_
_space_group_symop_operation_xyz
'x,y,z'
loop_
_atom_site_label
_atom_site_type_symbol
_atom_site_fract_x
_atom_site_fract_y
_atom_site_fract_z
Ca1 Ca 0.000 0.000 0.000
Nd1 Nd 0.250 0.500 0.750
Nd2 Nd 0.250 0.750 0.500
Nd3 Nd 0.500 0.250 0.750
Nd4 Nd 0.500 0.750 0.250
Nd5 Nd 0.750 0.250 0.500
Nd6 Nd 0.750 0.500 0.250

---

E_form: 80.3, 94.9, 62.8, 124.2, 61.5, 125.4, 12.3, 109.0 (kJ/mol of atoms)
Total DFT energy (no corrections): -19.29, -26.75, -34.46, -18.19, -28.14, -34.26, -10.26, -22.70 (eV/f.u.)